First-principles (PBE-GGA) data for a relaxed structure of NaThGaAu, as listed in the Alexandria database.

Lattice parameters (Å, degrees): 5.1013 5.1013 5.1013 60.00 60.00 60.00
With the nearest neighbours (Å) after each atom.
Positions (direct):
Na1 0.0000 0.0000 0.0000  4 Ga 3.12, 4 Au 3.12
Th1 0.5000 0.5000 0.5000  4 Au 3.12, 4 Ga 3.12
Ga1 0.2500 0.2500 0.2500  4 Th 3.12, 4 Na 3.12
Au1 0.7500 0.7500 0.7500  4 Th 3.12, 4 Na 3.12

As for the symmetry: No. 216.

First-principles (PBE-GGA) data for a relaxed structure of NaTlGaAu, as listed in the Alexandria database.

Lattice parameters (Å, degrees): 4.9878 4.9878 4.9878 60.00 60.00 60.00
With the nearest neighbours (Å) after each atom.
Positions (direct):
Na1 0.0000 0.0000 0.0000  4 Tl 3.05, 4 Au 3.05
Tl1 0.7500 0.7500 0.7500  4 Na 3.05, 4 Ga 3.05
Ga1 0.5000 0.5000 0.5000  4 Tl 3.05, 4 Au 3.05
Au1 0.2500 0.2500 0.2500  4 Na 3.05, 4 Ga 3.05

As for the symmetry: No. 216.

First-principles (PBE-GGA) data for a relaxed structure of Na2TlGa3Au4, as listed in the Alexandria database.

Lattice parameters (Å, degrees): 4.5442 4.5442 11.0477 90.00 90.00 90.00
With the nearest neighbours (Å) after each atom.
Positions (direct):
Na1 0.0000 0.5000 0.2300  8 Au 3.41-3.46, 6 Ga 3.44-3.75, 2 Tl 3.75
Na2 0.5000 0.0000 0.7700  8 Au 3.41-3.46, 6 Ga 3.44-3.75, 2 Tl 3.75
Tl1 0.0000 0.0000 0.5000  4 Au 2.84
Ga1 0.0000 0.5000 0.8821  5 Au 2.51-2.62
Ga2 0.5000 0.0000 0.1179  5 Au 2.51-2.62
Ga3 0.5000 0.5000 0.5000  4 Au 2.84
Au1 0.0000 0.0000 0.0000  4 Ga 2.62
Au2 0.0000 0.5000 0.6550  1 Ga 2.51
Au3 0.5000 0.0000 0.3450  1 Ga 2.51
Au4 0.5000 0.5000 0.0000  4 Ga 2.62

As for the symmetry: No. 115.

First-principles (PBE-GGA) data for a relaxed structure of NaTlGa2Au, as listed in the Alexandria database.

Lattice parameters (Å, degrees): 4.9715 4.9715 5.4904 90.00 90.00 90.00
With the nearest neighbours (Å) after each atom.
Positions (direct):
Na1 0.0000 0.0000 0.0000  2 Au 2.75
Tl1 0.5000 0.5000 0.0000  4 Na 3.52, 8 Ga 3.70
Ga1 0.0000 0.5000 0.5000  2 Au 2.49
Ga2 0.5000 0.0000 0.5000  2 Au 2.49
Au1 0.0000 0.0000 0.5000  4 Ga 2.49, 2 Na 2.75

As for the symmetry: No. 123.

First-principles (PBE-GGA) data for a relaxed structure of NaTmGa2Au2, as listed in the Alexandria database.

Lattice parameters (Å, degrees): 4.5402 4.5402 7.1485 90.00 90.00 120.00
With the nearest neighbours (Å) after each atom.
Positions (direct):
Na1 0.0000 0.0000 0.0000  6 Ga 3.23, 6 Au 3.32, 2 Tm 3.57
Tm1 0.0000 0.0000 0.5000  6 Au 3.04, 6 Ga 3.12
Ga1 0.3333 0.6667 0.7361  3 Au 2.63
Ga2 0.6667 0.3333 0.2639  3 Au 2.63
Au1 0.3333 0.6667 0.2842  3 Ga 2.63
Au2 0.6667 0.3333 0.7158  3 Ga 2.63

As for the symmetry: No. 164.

First-principles (PBE-GGA) data for a relaxed structure of NaV2GaAu, as listed in the Alexandria database.

Lattice parameters (Å, degrees): 5.0099 5.0099 5.2081 90.00 90.00 90.00
With the nearest neighbours (Å) after each atom.
Positions (direct):
Na1 0.0000 0.0000 0.0000  2 Au 2.60
V1 0.0000 0.5000 0.5000  2 Au 2.50
V2 0.5000 0.0000 0.5000  2 Au 2.50
Ga1 0.5000 0.5000 0.0000  4 Na 3.54, 8 V 3.61
Au1 0.0000 0.0000 0.5000  4 V 2.50, 2 Na 2.60

As for the symmetry: No. 123.

First-principles (PBE-GGA) data for a relaxed structure of NaGaW2Au, as listed in the Alexandria database.

Lattice parameters (Å, degrees): 4.7194 4.7194 4.8755 90.00 90.00 90.00
With the nearest neighbours (Å) after each atom.
Positions (direct):
Na1 0.0000 0.0000 0.0000  4 Au 3.34, 8 W 3.39
Ga1 0.5000 0.5000 0.5000  4 W 2.36, 2 Au 2.44
W1 0.0000 0.5000 0.5000  2 Ga 2.36
W2 0.5000 0.0000 0.5000  2 Ga 2.36
Au1 0.5000 0.5000 0.0000  2 Ga 2.44

As for the symmetry: No. 123.

First-principles (PBE-GGA) data for a relaxed structure of NaZn3GaAu, as listed in the Alexandria database.

Lattice parameters (Å, degrees): 7.2544 7.2544 5.5669 90.00 90.00 127.13
With the nearest neighbours (Å) after each atom.
Positions (direct):
Na1 0.2064 0.7936 0.7500  1 Ga 2.81, 2 Au 2.85
Na2 0.7936 0.2064 0.2500  1 Ga 2.81, 2 Au 2.85
Zn1 0.1957 0.1957 0.0000  3 Zn 2.53-2.78, 2 Ga 2.61, 2 Au 2.79
Zn2 0.1957 0.1957 0.5000  3 Zn 2.53-2.78, 2 Ga 2.61, 2 Au 2.79
Zn3 0.3587 0.6413 0.2500  1 Au 2.59, 3 Ga 2.84-2.90
Zn4 0.6413 0.3587 0.7500  1 Au 2.59, 3 Ga 2.84-2.90
Zn5 0.8043 0.8043 0.0000  3 Zn 2.53-2.78, 2 Ga 2.61, 2 Au 2.79
Zn6 0.8043 0.8043 0.5000  3 Zn 2.53-2.78, 2 Ga 2.61, 2 Au 2.79
Ga1 0.4226 0.5774 0.7500  7 Zn 2.61-2.90, 1 Na 2.81
Ga2 0.5774 0.4226 0.2500  7 Zn 2.61-2.90, 1 Na 2.81
Au1 0.1590 0.8410 0.2500  5 Zn 2.59-2.79, 2 Na 2.85
Au2 0.8410 0.1590 0.7500  5 Zn 2.59-2.79, 2 Na 2.85

As for the symmetry: No. 63.

First-principles (PBE-GGA) data for a relaxed structure of Na2ZnGa3Au12, as listed in the Alexandria database.

Lattice parameters (Å, degrees): 8.1528 8.1528 8.1528 62.34 62.34 62.34
With the nearest neighbours (Å) after each atom.
Positions (direct):
Na1 0.1171 0.1171 0.1171  6 Au 2.89-2.93
Na2 0.8829 0.8829 0.8829  6 Au 2.89-2.93
Zn1 0.5000 0.5000 0.5000  6 Au 2.58
Ga1 0.0000 0.5000 0.5000  6 Au 2.55
Ga2 0.5000 0.0000 0.5000  6 Au 2.55
Ga3 0.5000 0.5000 0.0000  6 Au 2.55
Au1 0.1244 0.6331 0.6331  1 Ga 2.55, 1 Zn 2.58
Au2 0.1282 0.1282 0.6148  2 Ga 2.55
Au3 0.1282 0.6148 0.1282  2 Ga 2.55
Au4 0.3669 0.3669 0.8756  1 Ga 2.55, 1 Zn 2.58
Au5 0.3669 0.8756 0.3669  1 Ga 2.55, 1 Zn 2.58
Au6 0.3852 0.8718 0.8718  2 Ga 2.55
Au7 0.6148 0.1282 0.1282  2 Ga 2.55
Au8 0.6331 0.1244 0.6331  1 Ga 2.55, 1 Zn 2.58
Au9 0.6331 0.6331 0.1244  1 Ga 2.55, 1 Zn 2.58
Au10 0.8718 0.3852 0.8718  2 Ga 2.55
Au11 0.8718 0.8718 0.3852  2 Ga 2.55
Au12 0.8756 0.3669 0.3669  1 Ga 2.55, 1 Zn 2.58

As for the symmetry: No. 166.

First-principles (PBE-GGA) data for a relaxed structure of NaZn2Ga4Au, as listed in the Alexandria database.

Lattice parameters (Å, degrees): 9.8036 9.8036 9.8036 25.89 25.89 25.89
With the nearest neighbours (Å) after each atom.
Positions (direct):
Na1 0.0000 0.0000 0.0000  8 Ga 3.22-3.52, 6 Zn 3.27
Zn1 0.2608 0.2608 0.2608  3 Ga 2.54
Zn2 0.7392 0.7392 0.7392  3 Ga 2.54
Ga1 0.1239 0.1239 0.1239  3 Au 2.81, 3 Zn 2.93, 3 Ga 2.97
Ga2 0.4031 0.4031 0.4031  3 Zn 2.54, 1 Au 2.75
Ga3 0.5969 0.5969 0.5969  3 Zn 2.54, 1 Au 2.75
Ga4 0.8761 0.8761 0.8761  3 Au 2.81, 3 Zn 2.93, 3 Ga 2.97
Au1 0.5000 0.5000 0.5000  8 Ga 2.75-2.81

As for the symmetry: No. 166.

First-principles (PBE-GGA) data for a relaxed structure of NaZn2GaAu4, as listed in the Alexandria database.

Lattice parameters (Å, degrees): 8.0601 8.0601 8.0601 33.18 33.18 33.18
With the nearest neighbours (Å) after each atom.
Positions (direct):
Na1 0.0000 0.0000 0.0000  8 Au 2.90-2.99, 6 Zn 3.14
Zn1 0.2599 0.2599 0.2599  8 Au 2.71-2.97
Zn2 0.7401 0.7401 0.7401  8 Au 2.71-2.97
Ga1 0.5000 0.5000 0.5000  8 Au 2.64-2.78
Au1 0.1310 0.1310 0.1310  3 Ga 2.78, 4 Zn 2.94-2.97, 1 Na 2.99
Au2 0.3845 0.3845 0.3845  1 Ga 2.64, 4 Zn 2.71-2.84, 3 Na 2.90
Au3 0.6155 0.6155 0.6155  1 Ga 2.64, 4 Zn 2.71-2.84, 3 Na 2.90
Au4 0.8690 0.8690 0.8690  3 Ga 2.78, 4 Zn 2.94-2.97, 1 Na 2.99

As for the symmetry: No. 166.

First-principles (PBE-GGA) data for a relaxed structure of NaZn2Ga2Au2, as listed in the Alexandria database.

Lattice parameters (Å, degrees): 8.2832 8.2832 8.2832 31.13 31.13 31.13
With the nearest neighbours (Å) after each atom.
Positions (direct):
Na1 0.0000 0.0000 0.0000  6 Ga 3.07, 2 Zn 3.14, 6 Au 3.31
Zn1 0.1330 0.1330 0.1330  4 Au 2.64-2.77, 3 Ga 2.95
Zn2 0.8670 0.8670 0.8670  4 Au 2.64-2.77, 3 Ga 2.95
Ga1 0.4049 0.4049 0.4049  3 Au 2.60
Ga2 0.5951 0.5951 0.5951  3 Au 2.60
Au1 0.2449 0.2449 0.2449  3 Ga 2.60, 4 Zn 2.64-2.77
Au2 0.7551 0.7551 0.7551  3 Ga 2.60, 4 Zn 2.64-2.77

As for the symmetry: No. 166.

| no. | VASP energy (eV per atom) | formation enthalpy at 0 K (eV/atom) |
| --- | --- | --- |
| 1 | -4.103 | -0.34 |
| 2 | -2.604 | -0.11 |
| 3 | -2.960 | -0.24 |
| 4 | -2.627 | -0.02 |
| 5 | -3.610 | -0.54 |
| 6 | -4.150 | 1.02 |
| 7 | -5.032 | 1.67 |
| 8 | -1.938 | -0.03 |
| 9 | -2.915 | -0.01 |
| 10 | -2.471 | -0.06 |
| 11 | -2.691 | -0.19 |
| 12 | -2.558 | -0.20 |